Record 1
10
Lattice="8.6196 0.0000 0.0000 0.0000 8.6196 0.0000 0.0000 0.0000 3.2590" Properties=species:S:1:pos:R:3 comment="Ca2AgAs2 PBE relaxed" de_polymorph_mev_per_atom=267 vol_a3_per_cell=242.1 energy_ev_per_fu=-18.73 formation_energy_ev_per_atom=-0.52 dos_at_fermi_per_ev_atom=0.107 pbc="T T T"
Ca 1.1853 3.1245 0.0000
Ca 3.1245 7.4343 0.0000
Ca 5.4951 1.1853 0.0000
Ca 7.4343 5.4951 0.0000
Ag 0.0000 0.0000 0.0000
Ag 4.3098 4.3098 0.0000
As 1.4203 5.7301 1.6295
As 2.8895 1.4203 1.6295
As 5.7301 7.1993 1.6295
As 7.1993 2.8895 1.6295

=====

Record 2
4
Lattice="4.1899 0.0000 0.0000 0.0000 4.1899 0.0000 0.0000 0.0000 3.5417" Properties=species:S:1:pos:R:3 comment="UFe2Au PBE relaxed" vol_a3_per_cell=62.2 energy_ev_per_fu=-31.67 formation_energy_ev_per_atom=-0.05 dos_at_fermi_per_ev_atom=0.568 pbc="T T T"
U 0.0000 0.0000 0.0000
Fe 0.0000 2.0950 1.7709
Fe 2.0950 0.0000 1.7709
Au 2.0950 2.0950 0.0000

=====

Record 3
4
Lattice="5.0750 0.0000 0.0000 0.0000 5.0750 0.0000 0.0000 0.0000 4.9260" Properties=species:S:1:pos:R:3 comment="NdTm2Th PBE relaxed" de_polymorph_mev_per_atom=26 vol_a3_per_cell=126.9 energy_ev_per_fu=-20.98 formation_energy_ev_per_atom=0.04 dos_at_fermi_per_ev_atom=1.223 pbc="T T T"
Nd 0.0000 0.0000 0.0000
Tm 0.0000 2.5375 2.4630
Tm 2.5375 0.0000 2.4630
Th 2.5375 2.5375 0.0000

=====

Record 4
10
Lattice="8.3321 0.0000 0.0000 0.0000 8.3321 0.0000 0.0000 0.0000 4.8895" Properties=species:S:1:pos:R:3 comment="K2Hg2Se PBE relaxed" de_polymorph_mev_per_atom=19 vol_a3_per_cell=339.5 energy_ev_per_fu=-8.40 raw_formation_energy_kcal_per_mol_atoms=-9.77 dos_at_fermi_per_ev_atom=0.521 pbc="T T T"
K 1.5225 2.6435 0.0000
K 2.6435 6.8096 0.0000
K 5.6886 1.5225 0.0000
K 6.8096 5.6886 0.0000
Hg 1.0680 5.2341 2.4448
Hg 3.0980 1.0680 2.4448
Hg 5.2341 7.2641 2.4448
Hg 7.2641 3.0980 2.4448
Se 0.0000 0.0000 2.4448
Se 4.1661 4.1661 2.4448

=====

Record 5
80
Lattice="-8.3092 8.3092 8.3092 8.3092 -8.3092 8.3092 8.3092 8.3092 -8.3092" Properties=species:S:1:pos:R:3 comment="In12Se5F3 PBE relaxed" vol_a3_per_cell=2294.7 energy_ev_per_fu=-67.06 raw_formation_energy_kcal_per_mol_atoms=-12.87 dos_at_fermi_per_ev_atom=0.612 pbc="T T T"
In 7.8847 -1.6458 2.5048
In 12.8883 -1.6498 2.5087
In 2.5048 -0.4245 1.6458
In 9.9590 5.8004 -4.5791
In 1.6458 2.5048 -0.4245
In 10.8179 3.7301 -1.6498
In 10.8139 0.4245 1.6458
In 9.9590 -2.5087 4.5791
In 5.8004 4.5791 -1.6498
In 6.6633 2.5048 0.4245
In -0.4245 1.6458 2.5048
In 7.8847 6.6633 -2.5048
In 4.5791 1.6498 2.5087
In 4.5791 -1.6498 5.8004
In 6.6633 -2.5048 7.8847
In 5.8004 -4.5791 9.9590
In 2.5048 7.8847 -1.6458
In 2.5087 4.5791 1.6498
In 9.9550 5.8044 0.4245
In 9.9590 2.5087 3.7301
In 1.6498 2.5087 4.5791
In 2.5048 0.4245 6.6633
In 4.5791 9.9590 -2.5087
In 7.8847 1.6458 5.8044
In 0.4245 6.6633 2.5048
In 3.7301 -1.6498 10.8179
In 5.8044 7.8847 1.6458
In 6.6593 5.8004 3.7301
In -1.6498 5.8004 4.5791
In -1.6458 2.5048 7.8847
In 5.8004 3.7301 6.6593
In 5.8044 0.4245 9.9550
In 2.5087 12.8883 -1.6498
In 1.6458 10.8139 0.4245
In 3.7301 9.9590 2.5087
In 3.7301 6.6593 5.8004
In 0.4245 1.6458 10.8139
In 8.7337 6.6633 5.8044
In 1.6458 5.8044 7.8847
In 2.5087 3.7301 9.9590
In -1.6498 10.8179 3.7301
In -2.5048 7.8847 6.6633
In -2.5087 4.5791 9.9590
In 6.6633 5.8044 8.7337
In -1.6498 2.5087 12.8883
In 5.8044 8.7337 6.6633
In -4.5791 9.9590 5.8004
In 0.4245 9.9550 5.8044
Se 0.0000 0.0000 0.0000
Se 4.1546 4.1546 -4.1546
Se 4.1546 -4.1546 4.1546
Se 8.3092 0.0000 0.0000
Se 12.4638 2.0773 0.0000
Se 8.3092 -4.1546 6.2319
Se 6.2319 8.3092 -4.1546
Se 6.2319 0.0000 4.1546
Se 4.1546 6.2319 0.0000
Se 8.3092 4.1546 2.0773
Se -4.1546 4.1546 4.1546
Se 0.0000 8.3092 0.0000
Se 0.0000 0.0000 8.3092
Se 4.1546 4.1546 4.1546
Se 0.0000 4.1546 6.2319
Se 4.1546 2.0773 8.3092
Se 2.0773 8.3092 4.1546
Se 2.0773 0.0000 12.4638
Se 0.0000 12.4638 2.0773
Se -4.1546 6.2319 8.3092
F 4.1546 2.0773 0.0000
F 8.3092 4.1546 -2.0773
F 2.0773 0.0000 4.1546
F 10.3865 0.0000 4.1546
F 0.0000 4.1546 2.0773
F 4.1546 -2.0773 8.3092
F 4.1546 10.3865 0.0000
F 8.3092 4.1546 6.2319
F -2.0773 8.3092 4.1546
F 6.2319 8.3092 4.1546
F 0.0000 4.1546 10.3865
F 4.1546 6.2319 8.3092

=====

Record 6
4
Lattice="3.4920 0.0000 0.0000 0.0000 3.4920 0.0000 0.0000 0.0000 7.7608" Properties=species:S:1:pos:R:3 comment="YSc2Se PBE relaxed" vol_a3_per_cell=94.6 energy_ev_per_fu=-25.08 raw_formation_energy_kcal_per_mol_atoms=-14.25 dos_at_fermi_per_ev_atom=1.476 pbc="T T T"
Y 0.0000 0.0000 0.0000
Sc 1.7460 1.7460 2.2979
Sc 1.7460 1.7460 5.4629
Se 0.0000 0.0000 3.8804